Material: LaP3Pb
Method: DFT, PBE
State: optimized geometry

Calculated values
Its symmetry is Pm-3m (221). The formation energy comes out at 185 kJ/mol of formula units. As for the energy above the most stable polymorph in this dataset: 0.000 eV/atom. As for the crystal system: cubic. Its theoretical density is 5.40 g/cm3.

The structure in CIF format:
```
data_LaP3Pb
_space_group_name_H-M_alt 'P 1'
_space_group_IT_number 1
_cell_length_a 5.1285
_cell_length_b 5.1285
_cell_length_c 5.1285
_cell_angle_alpha 90.00
_cell_angle_beta 90.00
_cell_angle_gamma 90.00
loop_
_space_group_symop_operation_xyz
'x,y,z'
loop_
_atom_site_label
_atom_site_fract_x
_atom_site_fract_y
_atom_site_fract_z
La1 0.0000 0.0000 0.0000
P1 0.0000 0.5000 0.5000
P2 0.5000 0.0000 0.5000
P3 0.5000 0.5000 0.0000
Pb1 0.5000 0.5000 0.5000
```

***

Material: LiY2Mg
Method: DFT, PBE
State: optimized geometry

Calculated values
Its symmetry is P4/mmm (123). The formation energy comes out at 3 kJ/mol of formula units. As for the crystal system: tetragonal. Its theoretical density is 3.25 g/cm3.

The structure in CIF format:
```
data_LiY2Mg
_space_group_name_H-M_alt 'P 1'
_space_group_IT_number 1
_cell_length_a 3.7683
_cell_length_b 3.7683
_cell_length_c 7.5225
_cell_angle_alpha 90.00
_cell_angle_beta 90.00
_cell_angle_gamma 90.00
loop_
_space_group_symop_operation_xyz
'x,y,z'
loop_
_atom_site_label
_atom_site_fract_x
_atom_site_fract_y
_atom_site_fract_z
Li1 0.0000 0.0000 0.0000
Y1 0.5000 0.5000 0.2509
Y2 0.5000 0.5000 0.7491
Mg1 0.0000 0.0000 0.5000
```

***

Material: BeAgSe2
Method: DFT, PBE
State: optimized geometry

Calculated values
Its formation energy from raw total energies is -134 meV/atom. Its symmetry is C2/m (12). As for the crystal system: monoclinic. Its theoretical density is 6.08 g/cm3.

The structure in CIF format:
```
data_BeAgSe2
_space_group_name_H-M_alt 'P 1'
_space_group_IT_number 1
_cell_length_a 3.9064
_cell_length_b 3.9064
_cell_length_c 6.5834
_cell_angle_alpha 107.37
_cell_angle_beta 107.37
_cell_angle_gamma 52.37
loop_
_space_group_symop_operation_xyz
'x,y,z'
loop_
_atom_site_label
_atom_site_fract_x
_atom_site_fract_y
_atom_site_fract_z
Be1 0.0000 0.0000 0.0000
Ag1 0.5000 0.5000 0.5000
Se1 0.3141 0.3141 0.7886
Se2 0.6859 0.6859 0.2114
```

***

Material: Sr2YMo
Method: DFT, PBE
State: optimized geometry

Calculated values
Its symmetry is Immm (71). The formation energy comes out at 249 kJ/mol of formula units. As for the energy above the most stable polymorph in this dataset: 0.126 eV/atom. As for the crystal system: orthorhombic. Its theoretical density is 3.99 g/cm3.

The structure in CIF format:
```
data_Sr2YMo
_space_group_name_H-M_alt 'P 1'
_space_group_IT_number 1
_cell_length_a 9.6966
_cell_length_b 9.6966
_cell_length_c 9.6966
_cell_angle_alpha 159.11
_cell_angle_beta 152.55
_cell_angle_gamma 34.74
loop_
_space_group_symop_operation_xyz
'x,y,z'
loop_
_atom_site_label
_atom_site_fract_x
_atom_site_fract_y
_atom_site_fract_z
Sr1 0.1582 0.1582 0.0000
Sr2 0.8418 0.8418 0.0000
Y1 0.5000 0.0000 0.5000
Mo1 0.0000 0.5000 0.5000
```

***

Material: CaLa2AgO5
Method: DFT, PBE
State: optimized geometry

Calculated values
Its formation energy from raw total energies is -2351 meV/atom. Its symmetry is P4/mbm (127). As for the crystal system: tetragonal. Its theoretical density is 5.93 g/cm3.

The structure in CIF format:
```
data_CaLa2AgO5
_space_group_name_H-M_alt 'P 1'
_space_group_IT_number 1
_cell_length_a 6.8260
_cell_length_b 6.8260
_cell_length_c 6.0754
_cell_angle_alpha 90.00
_cell_angle_beta 90.00
_cell_angle_gamma 90.00
loop_
_space_group_symop_operation_xyz
'x,y,z'
loop_
_atom_site_label
_atom_site_fract_x
_atom_site_fract_y
_atom_site_fract_z
Ca1 0.0000 0.0000 0.0000
Ca2 0.5000 0.5000 0.0000
La1 0.1719 0.3281 0.5000
La2 0.3281 0.8281 0.5000
La3 0.6719 0.1719 0.5000
La4 0.8281 0.6719 0.5000
Ag1 0.0000 0.5000 0.0000
Ag2 0.5000 0.0000 0.0000
O1 0.0000 0.0000 0.5000
O2 0.1558 0.6558 0.2434
O3 0.1558 0.6558 0.7566
O4 0.3442 0.1558 0.2434
O5 0.3442 0.1558 0.7566
O6 0.5000 0.5000 0.5000
O7 0.6558 0.8442 0.2434
O8 0.6558 0.8442 0.7566
O9 0.8442 0.3442 0.2434
O10 0.8442 0.3442 0.7566
```

***

Material: Ba2Sn5Hg12
Method: DFT, PBE
State: optimized geometry

Calculated values
Its symmetry is R-3m (166). The formation energy comes out at -308 kJ/mol of formula units. As for the crystal system: trigonal. Its theoretical density is 10.08 g/cm3.

The structure in CIF format:
```
data_Ba2Sn5Hg12
_space_group_name_H-M_alt 'P 1'
_space_group_IT_number 1
_cell_length_a 8.2825
_cell_length_b 8.2825
_cell_length_c 8.2825
_cell_angle_alpha 78.78
_cell_angle_beta 78.78
_cell_angle_gamma 78.78
loop_
_space_group_symop_operation_xyz
'x,y,z'
loop_
_atom_site_label
_atom_site_fract_x
_atom_site_fract_y
_atom_site_fract_z
Ba1 0.1844 0.1844 0.1844
Ba2 0.8156 0.8156 0.8156
Sn1 0.0000 0.5000 0.5000
Sn2 0.4065 0.4065 0.4065
Sn3 0.5000 0.0000 0.5000
Sn4 0.5000 0.5000 0.0000
Sn5 0.5935 0.5935 0.5935
Hg1 0.1149 0.1149 0.6657
Hg2 0.1149 0.6657 0.1149
Hg3 0.2055 0.5000 0.7945
Hg4 0.2055 0.7945 0.5000
Hg5 0.3343 0.8851 0.8851
Hg6 0.5000 0.2055 0.7945
Hg7 0.5000 0.7945 0.2055
Hg8 0.6657 0.1149 0.1149
Hg9 0.7945 0.2055 0.5000
Hg10 0.7945 0.5000 0.2055
Hg11 0.8851 0.3343 0.8851
Hg12 0.8851 0.8851 0.3343
```

***

- Which value of theoretical density does entry 5 give?
  5.93 g/cm3